Entry 1:
# NdDy3Y6

A relaxed structure of NdDy3Y6 (PBE, Alexandria).

Crystal system: orthorhombic
Total magnetic moment (Bohr magnetons per cell): 0.00
Calculated total energy (eV/atom): -5.62
N(E_F) (states/eV/f.u.): 14.9
Formation energy (meV per atom): 114.8
Energy relative to the lowest polymorph listed for this composition (meV per atom): 0
SG: Cmc2_1

Lattice parameters (Å, degrees): 6.4194 11.5752 11.5752 130.61 90.00 90.00
Atoms (fractional coordinates):
Nd1 0.0116 0.1620 0.8380
Nd2 0.5116 0.8380 0.1620
Dy1 0.4853 0.9577 0.7035
Dy2 0.9853 0.7035 0.9577
Dy3 0.0972 0.4185 0.5815
Dy4 0.5972 0.5815 0.4185
Dy5 0.9853 0.0423 0.2965
Dy6 0.4853 0.2965 0.0423
Y1 0.0712 0.7393 0.6212
Y2 0.5712 0.6212 0.7393
Y3 0.3300 0.4580 0.8943
Y4 0.8300 0.8943 0.4580
Y5 0.3137 0.9851 0.0149
Y6 0.7899 0.3017 0.6983
Y7 0.2899 0.6983 0.3017
Y8 0.8137 0.0149 0.9851
Y9 0.3300 0.1057 0.5420
Y10 0.8300 0.5420 0.1057
Y11 0.0712 0.3788 0.2607
Y12 0.5712 0.2607 0.3788

Entry 2:
# La8Au2C

A relaxed structure of La8Au2C (PBE, Alexandria).

Crystal system: monoclinic
Total magnetic moment (Bohr magnetons per cell): 0.03
Calculated total energy (eV/atom): -5.31
N(E_F) (states/eV/f.u.): 14.8
Formation energy (meV per atom): -294.3
SG: C2/m

Lattice parameters (Å, degrees): 3.9314 9.2470 9.6995 95.15 101.69 90.00
Atoms (fractional coordinates):
La1 0.5933 0.5241 0.1867
La2 0.3631 0.0054 0.7262
La3 0.2147 0.3418 0.4294
La4 0.9860 0.8064 0.9719
La5 0.7853 0.6582 0.5706
La6 0.6369 0.9946 0.2738
La7 0.4067 0.4759 0.8133
La8 0.0140 0.1936 0.0281
Au1 0.1698 0.7450 0.3396
Au2 0.8302 0.2550 0.6604
C1 0.5000 0.0000 0.0000